Entry 1:
# LiLaGa2Pt

A relaxed LiLaGa2Pt crystal (GGA-PBE, Alexandria via LeMat-Bulk).

The structure belongs to space group I-4m2 (No. 119); the cell edges are 4.457, 4.457 and 10.008 Å and the angles 90.00°, 90.00° and 90.00°. The asymmetric unit holds Li at (0.000, 0.000, 0.000), La at (0.000, 0.500, 0.750), Ga at (0.000, 0.500, 0.124) and Pt at (0.000, 0.000, 0.500).

The value obtained for the density of states at the Fermi level is 4.84 states/eV/f.u. As for the formation energy: -0.704 eV per atom. The calculation puts the calculated total energy at -4.4909 eV/atom.

Entry 2:
# LiLa2GaPt6

A relaxed LiLa2GaPt6 crystal (GGA-PBE, Alexandria via LeMat-Bulk).

The structure belongs to space group R-3m (No. 166, hexagonal axes); the cell edges are 5.6999, 5.6999 and 23.9714 Å and the angles 90.00°, 90.00° and 120.00°. The asymmetric unit holds Li at (0.0000, 0.0000, 0.0000), La at (0.0000, 0.0000, 0.2076), Ga at (0.0000, 0.0000, 0.5000) and Pt at (0.0069, 0.5034, 0.7550).

The value obtained for the density of states at the Fermi level is 3.59 states/eV/f.u. As for the formation energy: -0.768 eV per atom. The calculation puts the calculated total energy at -5.8722 eV/atom.

Entry 3:
# LiLaGaPt2

A relaxed LiLaGaPt2 crystal (GGA-PBE, Alexandria via LeMat-Bulk).

The structure belongs to space group I-4m2 (No. 119); the cell edges are 3.985, 3.985 and 12.267 Å and the angles 90.00°, 90.00° and 90.00°. The asymmetric unit holds Li at (0.000, 0.000, 0.000), La at (0.000, 0.500, 0.750), Ga at (0.000, 0.000, 0.500) and Pt at (0.000, 0.500, 0.137).

The value obtained for the density of states at the Fermi level is 1.32 states/eV/f.u. As for the formation energy: -0.946 eV per atom. The calculation puts the calculated total energy at -5.3362 eV/atom.

Entry 4:
# Li2LaGaRe

A relaxed Li2LaGaRe crystal (GGA-PBE, Alexandria via LeMat-Bulk).

The structure belongs to space group P4/mmm (No. 123); the cell edges are 4.474, 4.474 and 5.767 Å and the angles 90.00°, 90.00° and 90.00°. The asymmetric unit holds Li at (0.000, 0.500, 0.000), La at (0.000, 0.000, 0.500), Ga at (0.000, 0.000, 0.000) and Re at (0.500, 0.500, 0.500).

The value obtained for the density of states at the Fermi level is 7.64 states/eV/f.u. As for the formation energy: 0.986 eV per atom. The calculation puts the calculated total energy at -3.8600 eV/atom.

Entry 5:
# LiLa2GaRh

A relaxed LiLa2GaRh crystal (GGA-PBE, Alexandria via LeMat-Bulk).

The structure belongs to space group P4/mmm (No. 123); the cell edges are 5.531, 5.531 and 4.889 Å and the angles 90.00°, 90.00° and 90.00°. The asymmetric unit holds Li at (0.000, 0.000, 0.000), La at (0.000, 0.500, 0.500), Ga at (0.500, 0.500, 0.000) and Rh at (0.500, 0.500, 0.500).

The value obtained for the density of states at the Fermi level is 4.39 states/eV/f.u. As for the formation energy: -0.363 eV per atom. The calculation puts the calculated total energy at -4.7920 eV/atom.

Entry 6:
# LiLaGa2Rh

A relaxed LiLaGa2Rh crystal (GGA-PBE, Alexandria via LeMat-Bulk).

The structure belongs to space group P4/mmm (No. 123); the cell edges are 4.762, 4.762 and 4.665 Å and the angles 90.00°, 90.00° and 90.00°. The asymmetric unit holds Li at (0.000, 0.000, 0.000), La at (0.500, 0.500, 0.000), Ga at (0.000, 0.500, 0.500) and Rh at (0.000, 0.000, 0.500).

The value obtained for the density of states at the Fermi level is 2.34 states/eV/f.u. As for the formation energy: -0.502 eV per atom. The calculation puts the calculated total energy at -4.5514 eV/atom.